[1]
Ga2Ni3Ge: optimized geometry, GGA-PBE.

Computed properties:
DOS(E_F): 2.58 states/eV per cell
Energy of formation from the pure elements: -260 meV per atom
Crystal system: monoclinic
Space-group type: C2/c (15)
Calculated volume: 152.2 Å³ per cell

Lattice parameters (Å, degrees): 5.0716 4.6944 6.9198 96.27 111.50 90.00
Closest atoms and distances in Å follow each position.
Sites, in units of the cell vectors:
Ni: 0.3663 0.7500 0.0000  4 Ge 2.51-2.61, 4 Ga 2.53-2.74, 4 Ni 2.65-2.71
Ni: 0.0399 0.0780 0.3282  2 Ge 2.47-2.70, 6 Ga 2.52-2.68, 4 Ni 2.65-2.73
Ni: 0.6337 0.2500 0.0000  4 Ge 2.51-2.61, 4 Ga 2.53-2.74, 4 Ni 2.65-2.71
Ga: 0.4518 0.9202 0.6603  8 Ni 2.52-2.74, 3 Ga 2.62-2.65, 1 Ge 2.70
Ga: 0.2085 0.4202 0.6603  8 Ni 2.52-2.74, 3 Ga 2.62-2.65, 1 Ge 2.70
Ni: 0.2883 0.5780 0.3282  2 Ge 2.47-2.70, 6 Ga 2.52-2.68, 4 Ni 2.65-2.73
Ga: 0.5482 0.0798 0.3397  8 Ni 2.52-2.74, 3 Ga 2.62-2.65, 1 Ge 2.70
Ni: 0.9601 0.9220 0.6718  2 Ge 2.47-2.70, 6 Ga 2.52-2.68, 4 Ni 2.65-2.73
Ge: 0.8610 0.7500 0.0000  8 Ni 2.47-2.70, 2 Ga 2.70, 2 Ge 2.74
Ga: 0.7915 0.5798 0.3397  8 Ni 2.52-2.74, 3 Ga 2.62-2.65, 1 Ge 2.70
Ni: 0.7117 0.4220 0.6718  2 Ge 2.47-2.70, 6 Ga 2.52-2.68, 4 Ni 2.65-2.73
Ge: 0.1390 0.2500 0.0000  8 Ni 2.47-2.70, 2 Ga 2.70, 2 Ge 2.74

[2]
GaNi6Ge: optimized geometry, GGA-PBE.

Computed properties:
DOS(E_F): 8.46 states/eV per cell
Energy of formation from the pure elements: -289 meV per atom
Crystal system: tetragonal
Space-group type: P4/mmm (123)
Calculated volume: 91.7 Å³ per cell

Lattice parameters (Å, degrees): 3.5789 3.5789 7.1602 90.00 90.00 90.00
Closest atoms and distances in Å follow each position.
Sites, in units of the cell vectors:
Ni: 0.5000 0.0000 0.7483  2 Ge 2.52, 8 Ni 2.52-2.54, 2 Ga 2.54
Ni: 0.0000 0.5000 0.7483  2 Ge 2.52, 8 Ni 2.52-2.54, 2 Ga 2.54
Ni: 0.5000 0.5000 0.0000  4 Ga 2.53, 8 Ni 2.54
Ge: 0.0000 0.0000 0.5000  12 Ni 2.52-2.53
Ga: 0.0000 0.0000 0.0000  12 Ni 2.53-2.54
Ni: 0.5000 0.5000 0.5000  8 Ni 2.52, 4 Ge 2.53
Ni: 0.5000 0.0000 0.2517  2 Ge 2.52, 8 Ni 2.52-2.54, 2 Ga 2.54
Ni: 0.0000 0.5000 0.2517  2 Ge 2.52, 8 Ni 2.52-2.54, 2 Ga 2.54

[3]
GaNi8Ge2: optimized geometry, GGA-PBE.

Computed properties:
DOS(E_F): 6.75 states/eV per cell
Energy of formation from the pure elements: -257 meV per atom
Crystal system: orthorhombic
Space-group type: Immm (71)
Calculated volume: 131.9 Å³ per cell

Lattice parameters (Å, degrees): 3.7263 6.4572 6.6301 119.14 106.32 90.00
Closest atoms and distances in Å follow each position.
Sites, in units of the cell vectors:
Ni: 0.6626 0.8937 0.3251  3 Ge 2.40-2.44, 1 Ga 2.49, 5 Ni 2.51-2.58
Ni: 0.1531 0.1532 0.3063  2 Ga 2.51, 8 Ni 2.51-2.55, 2 Ge 2.61
Ge: 0.8193 0.3194 0.6387  10 Ni 2.40-2.61
Ge: 0.1807 0.6806 0.3613  10 Ni 2.40-2.61
Ni: 0.3374 0.5686 0.6749  3 Ge 2.40-2.44, 1 Ga 2.49, 5 Ni 2.51-2.58
Ni: 0.8469 0.8468 0.6937  2 Ga 2.51, 8 Ni 2.51-2.55, 2 Ge 2.61
Ni: 0.6626 0.4314 0.3251  3 Ge 2.40-2.44, 1 Ga 2.49, 5 Ni 2.51-2.58
Ni: 0.0000 0.2891 0.0000  2 Ge 2.40, 6 Ni 2.51-2.58, 2 Ga 2.64
Ga: 0.5000 0.0000 0.0000  12 Ni 2.49-2.64
Ni: 0.0000 0.7109 0.0000  2 Ge 2.40, 6 Ni 2.51-2.58, 2 Ga 2.64
Ni: 0.3374 0.1063 0.6749  3 Ge 2.40-2.44, 1 Ga 2.49, 5 Ni 2.51-2.58

[4]
GaNiGe: optimized geometry, GGA-PBE.

Computed properties:
DOS(E_F): 2.39 states/eV per cell
Energy of formation from the pure elements: -270 meV per atom
Crystal system: trigonal
Space-group type: R-3m (166)
Calculated volume: 93.4 Å³ per cell

Lattice parameters (Å, degrees): 4.0336 4.0336 7.0253 73.32 73.32 60.00
Closest atoms and distances in Å follow each position.
Sites, in units of the cell vectors:
Ni: 0.7467 0.7467 0.7600  4 Ge 2.44-2.47, 4 Ga 2.50-2.51
Ga: 0.8726 0.8726 0.3823  4 Ni 2.50-2.51, 3 Ga 2.80
Ga: 0.1274 0.1274 0.6177  4 Ni 2.50-2.51, 3 Ga 2.80
Ge: 0.6225 0.6225 0.1324  4 Ni 2.44-2.47
Ni: 0.2533 0.2533 0.2400  4 Ge 2.44-2.47, 4 Ga 2.50-2.51
Ge: 0.3775 0.3775 0.8676  4 Ni 2.44-2.47

[5]
GaNi2Ge: optimized geometry, GGA-PBE.

Computed properties:
DOS(E_F): 1.60 states/eV per cell
Energy of formation from the pure elements: -219 meV per atom
Crystal system: tetragonal
Space-group type: P4/mmm (123)
Calculated volume: 51.1 Å³ per cell

Lattice parameters (Å, degrees): 2.9897 2.9897 5.7154 90.00 90.00 90.00
Closest atoms and distances in Å follow each position.
Sites, in units of the cell vectors:
Ga: 0.5000 0.5000 0.5000  8 Ni 2.55
Ni: 0.0000 0.0000 0.7493  4 Ga 2.55, 4 Ge 2.55, 1 Ni 2.85
Ge: 0.5000 0.5000 0.0000  8 Ni 2.55, 2 Ga 2.86
Ni: 0.0000 0.0000 0.2507  4 Ga 2.55, 4 Ge 2.55, 1 Ni 2.85

[6]
GaNi6Ge: optimized geometry, GGA-PBE.

Computed properties:
DOS(E_F): 9.02 states/eV per cell
Energy of formation from the pure elements: -30 meV per atom
Crystal system: monoclinic
Space-group type: C2/m (12)
Calculated volume: 103.4 Å³ per cell

Lattice parameters (Å, degrees): 4.2563 4.2563 6.4531 74.40 74.40 69.33
Closest atoms and distances in Å follow each position.
Sites, in units of the cell vectors:
Ni: 0.4567 0.9351 0.6997  5 Ni 2.32-2.57, 1 Ge 2.34, 2 Ga 2.45-2.46
Ni: 0.6410 0.6410 0.0697  1 Ge 2.40, 7 Ni 2.42-2.61, 1 Ga 2.63
Ni: 0.3590 0.3590 0.9303  1 Ge 2.40, 7 Ni 2.42-2.61, 1 Ga 2.63
Ni: 0.5433 0.0649 0.3003  5 Ni 2.32-2.57, 1 Ge 2.34, 2 Ga 2.45-2.46
Ge: 0.0000 0.0000 0.0000  6 Ni 2.34-2.40
Ga: 0.5000 0.5000 0.5000  10 Ni 2.45-2.63
Ni: 0.0649 0.5433 0.3003  5 Ni 2.32-2.57, 1 Ge 2.34, 2 Ga 2.45-2.46
Ni: 0.9351 0.4567 0.6997  5 Ni 2.32-2.57, 1 Ge 2.34, 2 Ga 2.45-2.46

no.,M_tot (μB/atom),E (eV/cell)
1,0.000,-59.151
2,0.102,-44.640
3,0.000,-61.336
4,0.000,-28.471
5,0.000,-20.082
6,0.000,-42.574